DFT (meta-GGA SCAN) results for a crystal of ZrIrAu relaxed with PBEsol.

Its symmetry is No. 156. For the excess energy over the best structure of this formula in the dataset, the calculation gives 1.77 eV per formula unit. The value obtained for the volume is 16.91 Å³ per atom. For the energy relative to the elements, the calculation gives -165 meV per atom. The total energy is -57.150 eV/atom.

a = 2.8766 Å, b = 2.8766 Å, c = 7.0785 Å
α = 90.00°, β = 90.00°, γ = 120.00°
With the nearest neighbours (Å) after each atom.
Atoms (fractional coordinates):
1 Ir 0.3333 0.6667 0.6609  3 Zr 2.80, 6 Ir 2.88, 3 Au 2.90
2 Zr 0.6667 0.3333 0.3431  3 Ir 2.80, 6 Zr 2.88, 3 Au 2.97
3 Au 0.0000 0.0000 0.9960  6 Au 2.88, 3 Ir 2.90, 3 Zr 2.97



DFT (meta-GGA SCAN) results for a crystal of Zr2Ir2Au relaxed with PBEsol.

Its symmetry is No. 127. The value obtained for the volume is 17.87 Å³ per atom. For the energy relative to the elements, the calculation gives -889 meV per atom. The total energy is -55.439 eV/atom.

a = 3.1616 Å, b = 7.5172 Å, c = 7.5172 Å
α = 90.00°, β = 90.00°, γ = 90.00°
With the nearest neighbours (Å) after each atom.
Atoms (fractional coordinates):
1 Au 0.0000 0.5000 0.5000  4 Ir 2.92, 2 Au 3.16, 8 Zr 3.22
2 Ir 0.0000 0.6351 0.1351  6 Zr 2.66-2.76, 1 Ir 2.87, 2 Au 2.92
3 Zr 0.5000 0.1641 0.6641  6 Ir 2.66-2.76
4 Zr 0.5000 0.6641 0.8359  6 Ir 2.66-2.76
5 Zr 0.5000 0.8359 0.3359  6 Ir 2.66-2.76
6 Au 0.0000 0.0000 0.0000  4 Ir 2.92, 2 Au 3.16, 8 Zr 3.22
7 Ir 0.0000 0.1351 0.3649  6 Zr 2.66-2.76, 1 Ir 2.87, 2 Au 2.92
8 Zr 0.5000 0.3359 0.1641  6 Ir 2.66-2.76
9 Ir 0.0000 0.8649 0.6351  6 Zr 2.66-2.76, 1 Ir 2.87, 2 Au 2.92
10 Ir 0.0000 0.3649 0.8649  6 Zr 2.66-2.76, 1 Ir 2.87, 2 Au 2.92



DFT (meta-GGA SCAN) results for a crystal of KAu3 relaxed with PBEsol.

Its symmetry is No. 65. For the excess energy over the best structure of this formula in the dataset, the calculation gives 0.00 eV per formula unit. The value obtained for the volume is 28.27 Å³ per atom. For the energy relative to the elements, the calculation gives -289 meV per atom. The total energy is -54.239 eV/atom.

a = 4.7572 Å, b = 5.8497 Å, c = 8.1269 Å
α = 90.00°, β = 90.00°, γ = 90.00°
With the nearest neighbours (Å) after each atom.
Atoms (fractional coordinates):
1 Au 0.5000 0.0000 0.6682  6 Au 2.70-2.74
2 Au 0.0000 0.0004 0.5000  6 Au 2.70-2.74
3 K 0.5000 0.4999 0.5000  4 Au 3.23
4 Au 0.5000 0.0000 0.3318  6 Au 2.70-2.74
5 K 0.0000 0.5001 0.0000  4 Au 3.23
6 Au 0.0000 0.0000 0.1682  6 Au 2.70-2.74
7 Au 0.5000 0.9996 0.0000  6 Au 2.70-2.74
8 Au 0.0000 0.0000 0.8318  6 Au 2.70-2.74



DFT (meta-GGA SCAN) results for a crystal of K3Au2 relaxed with PBEsol.

Its symmetry is No. 14. For the excess energy over the best structure of this formula in the dataset, the calculation gives 0.00 eV per formula unit. The value obtained for the volume is 31.35 Å³ per atom. For the energy relative to the elements, the calculation gives -303 meV per atom. The total energy is -32.963 eV/atom.

a = 5.1161 Å, b = 6.3205 Å, c = 10.6113 Å
α = 90.00°, β = 89.99°, γ = 66.02°
With the nearest neighbours (Å) after each atom.
Atoms (fractional coordinates):
1 K 0.6098 0.3803 0.6782  3 Au 3.16-3.49
2 Au 0.3250 0.9498 0.6057  2 Au 2.82
3 K 0.2403 0.1194 0.9219  3 Au 3.16-3.50
4 K 0.4250 0.7501 0.2999  6 Au 3.44-3.48, 4 K 3.57-3.58
5 Au 0.8250 0.9500 0.4942  2 Au 2.82
6 Au 0.0248 0.5502 0.1057  2 Au 2.82
7 K 0.9250 0.7499 0.7999  6 Au 3.44-3.48, 4 K 3.57-3.58
8 Au 0.5251 0.5500 0.9943  2 Au 2.82
9 K 0.1098 0.3806 0.4219  3 Au 3.16-3.50
10 K 0.7402 0.1197 0.1783  3 Au 3.16-3.49



DFT (meta-GGA SCAN) results for a crystal of K4Au relaxed with PBEsol.

Its symmetry is No. 87. For the excess energy over the best structure of this formula in the dataset, the calculation gives 0.00 eV per formula unit. The value obtained for the volume is 49.59 Å³ per atom. For the energy relative to the elements, the calculation gives -155 meV per atom. The total energy is -20.650 eV/atom.

a = 4.1680 Å, b = 7.9896 Å, c = 7.9896 Å
α = 86.10°, β = 74.88°, γ = 74.88°
With the nearest neighbours (Å) after each atom.
Atoms (fractional coordinates):
1 Au 0.0000 0.0000 0.0000  8 K 3.41
2 K 0.2582 0.2963 0.1873  2 Au 3.41
3 K 0.5545 0.1873 0.7037  2 Au 3.41
4 K 0.4455 0.8127 0.2963  2 Au 3.41
5 K 0.7418 0.7037 0.8127  2 Au 3.41



DFT (meta-GGA SCAN) results for a crystal of KAu3 relaxed with PBEsol.

Its symmetry is No. 65. For the excess energy over the best structure of this formula in the dataset, the calculation gives 1.15 eV per formula unit. The value obtained for the volume is 19.85 Å³ per atom. For the energy relative to the elements, the calculation gives -1 meV per atom. The total energy is -53.951 eV/atom.

a = 2.7919 Å, b = 5.3735 Å, c = 5.3735 Å
α = 100.00°, β = 90.00°, γ = 90.00°
With the nearest neighbours (Å) after each atom.
Atoms (fractional coordinates):
1 Au 0.0000 0.5000 0.5000  10 Au 2.79-3.03
2 K 0.0000 0.0000 0.0000  2 K 2.79, 8 Au 3.03
3 Au 0.5000 0.0000 0.5000  6 Au 2.79-3.03, 4 K 3.03
4 Au 0.5000 0.5000 0.0000  6 Au 2.79-3.03, 4 K 3.03



DFT (meta-GGA SCAN) results for a crystal of K4Au relaxed with PBEsol.

Its symmetry is No. 229. For the excess energy over the best structure of this formula in the dataset, the calculation gives 0.09 eV per formula unit. The value obtained for the volume is 49.88 Å³ per atom. For the energy relative to the elements, the calculation gives -138 meV per atom. The total energy is -20.632 eV/atom.

a = 6.8682 Å, b = 6.8682 Å, c = 6.8682 Å
α = 109.47°, β = 109.47°, γ = 109.47°
With the nearest neighbours (Å) after each atom.
Atoms (fractional coordinates):
1 K 0.5000 0.0000 0.0000  2 Au 3.43
2 K 0.0000 0.5000 0.0000  2 Au 3.43
3 Au 0.0000 0.0000 0.0000  8 K 3.43
4 K 0.5000 0.5000 0.5000  2 Au 3.43
5 K 0.0000 0.0000 0.5000  2 Au 3.43



DFT (meta-GGA SCAN) results for a crystal of KAu3 relaxed with PBEsol.

Its symmetry is No. 71. For the excess energy over the best structure of this formula in the dataset, the calculation gives 0.82 eV per formula unit. The value obtained for the volume is 20.65 Å³ per atom. For the energy relative to the elements, the calculation gives -83 meV per atom. The total energy is -54.033 eV/atom.

a = 2.8126 Å, b = 5.3463 Å, c = 6.2687 Å
α = 115.24°, β = 102.96°, γ = 90.00°
With the nearest neighbours (Å) after each atom.
Atoms (fractional coordinates):
1 Au 0.2196 0.2196 0.4392  8 Au 2.79-3.09
2 Au 0.7804 0.7804 0.5608  8 Au 2.79-3.09
3 K 0.0000 0.5000 0.0000  2 K 2.81, 4 Au 3.02
4 Au 0.5000 0.0000 0.0000  6 Au 2.79-2.81, 4 K 3.02



DFT (meta-GGA SCAN) results for a crystal of K3Au2 relaxed with PBEsol.

Its symmetry is No. 166. For the excess energy over the best structure of this formula in the dataset, the calculation gives 0.15 eV per formula unit. The value obtained for the volume is 42.34 Å³ per atom. For the energy relative to the elements, the calculation gives -272 meV per atom. The total energy is -32.932 eV/atom.

a = 4.5641 Å, b = 4.5641 Å, c = 12.0276 Å
α = 79.06°, β = 79.06°, γ = 60.00°
With the nearest neighbours (Å) after each atom.
Atoms (fractional coordinates):
1 Au 0.3898 0.3898 0.8305  6 K 3.21-3.30
2 K 0.2246 0.2246 0.3261  3 Au 3.21
3 K 0.7754 0.7754 0.6739  3 Au 3.21
4 Au 0.6102 0.6102 0.1695  6 K 3.21-3.30
5 K 0.0000 0.0000 0.0000  6 Au 3.30



DFT (meta-GGA SCAN) results for a crystal of K5Au3 relaxed with PBEsol.

Its symmetry is No. 193. For the excess energy over the best structure of this formula in the dataset, the calculation gives 0.00 eV per formula unit. The value obtained for the volume is 34.18 Å³ per atom. For the energy relative to the elements, the calculation gives -321 meV per atom. The total energy is -31.461 eV/atom.

a = 6.7356 Å, b = 9.6825 Å, c = 9.6825 Å
α = 120.00°, β = 90.00°, γ = 90.00°
With the nearest neighbours (Å) after each atom.
Atoms (fractional coordinates):
1 Au 0.2500 0.0000 0.3961  9 K 3.31-3.61
2 Au 0.2500 0.6039 0.6039  9 K 3.31-3.61
3 K 0.5000 0.3333 0.6667  2 K 3.37, 6 Au 3.41
4 Au 0.2500 0.3961 0.0000  9 K 3.31-3.61
5 K 0.2500 0.2621 0.2621  5 Au 3.31-3.61
6 K 0.7500 0.2621 0.0000  5 Au 3.31-3.61
7 K 0.2500 0.0000 0.7379  5 Au 3.31-3.61
8 K 0.2500 0.7379 0.0000  5 Au 3.31-3.61
9 K 0.7500 0.7379 0.7379  5 Au 3.31-3.61
10 Au 0.7500 0.6039 0.0000  9 K 3.31-3.61
11 K 0.5000 0.6667 0.3333  2 K 3.37, 6 Au 3.41
12 K 0.0000 0.6667 0.3333  2 K 3.37, 6 Au 3.41
13 Au 0.7500 0.3961 0.3961  9 K 3.31-3.61
14 Au 0.7500 0.0000 0.6039  9 K 3.31-3.61
15 K 0.0000 0.3333 0.6667  2 K 3.37, 6 Au 3.41
16 K 0.7500 0.0000 0.2621  5 Au 3.31-3.61



DFT (meta-GGA SCAN) results for a crystal of KAu3 relaxed with PBEsol.

Its symmetry is No. 225. For the excess energy over the best structure of this formula in the dataset, the calculation gives 1.56 eV per formula unit. The value obtained for the volume is 20.25 Å³ per atom. For the energy relative to the elements, the calculation gives 102 meV per atom. The total energy is -53.848 eV/atom.

a = 4.8568 Å, b = 4.8568 Å, c = 4.8568 Å
α = 60.00°, β = 60.00°, γ = 60.00°
With the nearest neighbours (Å) after each atom.
Atoms (fractional coordinates):
1 Au 0.2500 0.2500 0.2500  4 Au 2.97, 4 K 2.97
2 Au 0.7500 0.7500 0.7500  4 K 2.97, 4 Au 2.97
3 K 0.0000 0.0000 0.0000  8 Au 2.97
4 Au 0.5000 0.5000 0.5000  8 Au 2.97



DFT (meta-GGA SCAN) results for a crystal of K5Au3 relaxed with PBEsol.

Its symmetry is No. 65. For the excess energy over the best structure of this formula in the dataset, the calculation gives 0.45 eV per formula unit. The value obtained for the volume is 32.60 Å³ per atom. For the energy relative to the elements, the calculation gives -265 meV per atom. The total energy is -31.404 eV/atom.

a = 5.4568 Å, b = 7.0112 Å, c = 7.0112 Å
α = 103.50°, β = 90.00°, γ = 90.00°
With the nearest neighbours (Å) after each atom.
Atoms (fractional coordinates):
1 Au 0.0000 0.5000 0.5000  8 K 3.24-3.51
2 K 0.0000 0.5000 0.0000  6 K 3.51-3.90, 6 Au 3.51-3.52
3 K 0.0000 0.0000 0.0000  8 K 3.51-3.77, 4 Au 3.54
4 K 0.5000 0.7010 0.7010  4 Au 3.24-3.44, 1 K 3.49
5 Au 0.5000 0.7950 0.2050  10 K 3.44-3.69
6 Au 0.5000 0.2050 0.7950  10 K 3.44-3.69
7 K 0.5000 0.2990 0.2990  4 Au 3.24-3.44, 1 K 3.49
8 K 0.0000 0.0000 0.5000  6 Au 3.51-3.52, 6 K 3.51-3.90